(1)
# P4Os | the Alexandria database | PBE | optimized geometry
data_P4Os
_chemical_formula_sum 'P12 Os3'
_cell_length_a 4.748
_cell_length_b 7.206
_cell_length_c 7.596
_cell_angle_alpha 111.31
_cell_angle_beta 90.36
_cell_angle_gamma 100.36
_symmetry_space_group_name_H-M 'P -1'
_symmetry_Int_Tables_number 2
loop_
_symmetry_equiv_pos_as_xyz
'x,y,z'
'-x,-y,-z'
loop_
_atom_site_label
_atom_site_type_symbol
_atom_site_fract_x
_atom_site_fract_y
_atom_site_fract_z
P1 P 0.099 0.366 0.399
P2 P 0.108 0.830 0.269
P3 P 0.159 0.086 0.939
P4 P 0.228 0.573 0.049
P5 P 0.295 0.297 0.624
P6 P 0.322 0.838 0.714
Os1 Os 0.441 0.372 0.172
Os2 Os 0.500 0.000 0.500
# Calculated formation energy, eV/f.u.: -1.90
# Energy above the lowest structure with this stoichiometry, meV per atom: 0.0

(2)
# CdHgTe2 | the Alexandria database | PBE | optimized geometry
data_CdHgTe2
_chemical_formula_sum 'Cd3 Hg3 Te6'
_cell_length_a 3.6383
_cell_length_b 3.6383
_cell_length_c 33.7603
_cell_angle_alpha 90.00
_cell_angle_beta 90.00
_cell_angle_gamma 120.00
_symmetry_space_group_name_H-M 'R -3 m'
_symmetry_Int_Tables_number 166
_symmetry_space_group_name_Hall '-R 3 2"'
loop_
_atom_site_label
_atom_site_type_symbol
_atom_site_fract_x
_atom_site_fract_y
_atom_site_fract_z
Cd1 Cd 0.0000 0.0000 0.0000
Hg1 Hg 0.0000 0.0000 0.5000
Te1 Te 0.0000 0.0000 0.2694
# Raw formation energy, meV per atom: 52
# Energy above the lowest structure with this stoichiometry, meV per atom: 363.6

(3)
# Cr4Ni | the Alexandria database | PBE | optimized geometry
data_Cr4Ni
_chemical_formula_sum 'Cr8 Ni2'
_cell_length_a 3.649
_cell_length_b 3.649
_cell_length_c 9.876
_cell_angle_alpha 90.00
_cell_angle_beta 90.00
_cell_angle_gamma 90.00
_symmetry_space_group_name_H-M 'I 4/m m m'
_symmetry_Int_Tables_number 139
_symmetry_space_group_name_Hall '-I 4 2'
loop_
_atom_site_label
_atom_site_type_symbol
_atom_site_fract_x
_atom_site_fract_y
_atom_site_fract_z
Cr1 Cr 0.000 0.000 0.113
Cr2 Cr 0.000 0.500 0.250
Ni1 Ni 0.000 0.000 0.500
# Calculated formation energy, eV/f.u.: 4.06
# Energy above the lowest structure with this stoichiometry, meV per atom: 798.6

(4)
# RbBe2AgF8 | the Alexandria database | PBE | optimized geometry
data_RbBe2AgF8
_chemical_formula_sum 'Rb2 Be4 Ag2 F16'
_cell_length_a 8.193
_cell_length_b 5.468
_cell_length_c 8.303
_cell_angle_alpha 90.00
_cell_angle_beta 96.22
_cell_angle_gamma 90.00
_symmetry_space_group_name_H-M 'C 1 2/m 1'
_symmetry_Int_Tables_number 12
loop_
_symmetry_equiv_pos_as_xyz
'x,y,z'
'-x,-y,-z'
'-x,y,-z'
'x,-y,z'
'x+1/2,y+1/2,z'
'-x+1/2,-y+1/2,-z'
'-x+1/2,y+1/2,-z'
'x+1/2,-y+1/2,z'
loop_
_atom_site_label
_atom_site_type_symbol
_atom_site_fract_x
_atom_site_fract_y
_atom_site_fract_z
Rb1 Rb 0.000 0.000 0.000
Be1 Be 0.119 0.500 0.298
Ag1 Ag 0.000 0.000 0.500
F1 F 0.006 0.263 0.310
F2 F 0.183 0.500 0.136
F3 F 0.242 0.500 0.457
# Raw formation energy, meV per atom: -2425